*w*
Zr2Cu2Ge: relaxed, GGA-PBE.

abc: 6.5128 6.5128 4.0467
angles: 90.00 90.00 90.00
Closest atoms and distances in Å follow each position.
Positions (direct):
Ge 0.0000 0.0000 0.0000  4 Cu 2.55
Ge 0.5000 0.5000 0.0000  4 Cu 2.55
Cu 0.3694 0.8694 0.0000  1 Cu 2.41, 2 Ge 2.55
Cu 0.8694 0.6306 0.0000  1 Cu 2.41, 2 Ge 2.55
Cu 0.6306 0.1306 0.0000  1 Cu 2.41, 2 Ge 2.55
Cu 0.1306 0.3694 0.0000  1 Cu 2.41, 2 Ge 2.55
Zr 0.1699 0.6699 0.5000  6 Cu 2.73-2.83
Zr 0.6699 0.8301 0.5000  6 Cu 2.73-2.83
Zr 0.8301 0.3301 0.5000  6 Cu 2.73-2.83
Zr 0.3301 0.1699 0.5000  6 Cu 2.73-2.83

Symmetry: P4/mbm, No. 127
Crystal system: tetragonal
Size of the total moment: 0.000 μB/atom
Density: 7.39 Mg/m³


*x*
Zr2Cu2Ge: relaxed, GGA-PBE.

abc: 7.4179 7.4179 3.3951
angles: 90.00 90.00 90.00
Closest atoms and distances in Å follow each position.
Positions (direct):
Ge 0.0000 0.0000 0.0000  4 Zr 2.75
Ge 0.5000 0.5000 0.0000  4 Zr 2.75
Cu 0.1226 0.6226 0.5000  1 Cu 2.57, 6 Zr 2.75-2.78
Cu 0.6226 0.8774 0.5000  1 Cu 2.57, 6 Zr 2.75-2.78
Cu 0.8774 0.3774 0.5000  1 Cu 2.57, 6 Zr 2.75-2.78
Cu 0.3774 0.1226 0.5000  1 Cu 2.57, 6 Zr 2.75-2.78
Zr 0.3290 0.8290 0.0000  2 Ge 2.75, 6 Cu 2.75-2.78
Zr 0.8290 0.6710 0.0000  2 Ge 2.75, 6 Cu 2.75-2.78
Zr 0.6710 0.1710 0.0000  2 Ge 2.75, 6 Cu 2.75-2.78
Zr 0.1710 0.3290 0.0000  2 Ge 2.75, 6 Cu 2.75-2.78

Symmetry: P4/mbm, No. 127
Crystal system: tetragonal
Size of the total moment: 0.000 μB/atom
Density: 6.79 Mg/m³


Which of them is the most stable? Correct choice: *w*.


*w*
Cu3H: relaxed, GGA-PBE.

abc: 2.4790 4.3766 4.3952
angles: 119.86 106.38 90.00
Closest atoms and distances in Å follow each position.
Positions (direct):
H 0.0000 0.0026 0.0000  6 Cu 1.88-2.10
Cu 0.3160 0.7036 0.6320  2 H 1.88
Cu 0.5000 0.3888 0.0000  2 H 2.10
Cu 0.6840 0.0717 0.3680  2 H 1.88

Symmetry: Imm2, No. 44
Crystal system: orthorhombic
Size of the total moment: 0.000 μB/atom
Density: 8.14 Mg/m³


*x*
Cu3H: relaxed, GGA-PBE.

abc: 2.4984 2.5260 6.3826
angles: 90.00 90.00 90.00
Closest atoms and distances in Å follow each position.
Positions (direct):
H 0.0000 0.0000 0.9774  6 Cu 1.86-2.01
Cu 0.0000 0.5000 0.4698  10 Cu 2.50-2.57
Cu 0.5000 0.5000 0.1248  4 H 2.01
Cu 0.5000 0.0000 0.7613  2 H 1.86

Symmetry: Pmm2, No. 25
Crystal system: orthorhombic
Size of the total moment: 0.000 μB/atom
Density: 7.90 Mg/m³


Which of them is the most stable? Correct choice: *w*.


*w*
HfCu2H: relaxed, GGA-PBE.

abc: 5.2367 5.2367 5.2301
angles: 59.96 59.96 90.00
Closest atoms and distances in Å follow each position.
Positions (direct):
H 0.5000 0.5000 0.0000  4 Cu 1.61
H 0.2500 0.7500 0.5000  4 Cu 1.61
Hf 0.0000 0.0000 0.0000  12 Cu 2.96-3.18, 4 Hf 3.20, 4 H 3.20
Hf 0.7500 0.2500 0.5000  12 Cu 2.96-3.18, 4 Hf 3.20, 4 H 3.20
Cu 0.3988 0.1250 0.2500  2 H 1.61
Cu 0.3512 0.6250 0.2500  2 H 1.61
Cu 0.3750 0.6012 0.7500  2 H 1.61
Cu 0.8750 0.6488 0.7500  2 H 1.61

Symmetry: I-42d, No. 122
Crystal system: tetragonal
Size of the total moment: 0.238 μB/atom
Density: 10.05 Mg/m³


*x*
HfCu2H: relaxed, GGA-PBE.

abc: 4.2701 4.2701 4.2701
angles: 60.00 60.00 60.00
Closest atoms and distances in Å follow each position.
Positions (direct):
H 0.0000 0.0000 0.0000  8 Cu 2.61
Hf 0.5000 0.5000 0.5000  8 Cu 2.61
Cu 0.2500 0.2500 0.2500  4 Hf 2.61, 4 H 2.61
Cu 0.7500 0.7500 0.7500  4 Hf 2.61, 4 H 2.61

Symmetry: Fm-3m, No. 225
Crystal system: cubic
Size of the total moment: 0.000 μB/atom
Density: 9.25 Mg/m³


Which of them is the most stable? Correct choice: *w*.


*w*
Hf2CuH: relaxed, GGA-PBE.

abc: 3.2041 3.2041 6.9879
angles: 76.75 76.75 60.00
Closest atoms and distances in Å follow each position.
Positions (direct):
H 0.0000 0.0000 0.0000  6 Hf 2.26
Hf 0.2695 0.2695 0.1915  3 H 2.26
Hf 0.7305 0.7305 0.8085  3 H 2.26
Cu 0.5000 0.5000 0.5000  6 Hf 2.78

Symmetry: R-3m, No. 166
Crystal system: trigonal
Size of the total moment: 0.000 μB/atom
Density: 11.68 Mg/m³


*x*
Hf2CuH: relaxed, GGA-PBE.

abc: 3.4155 5.9310 6.8701
angles: 115.52 104.35 90.04
Closest atoms and distances in Å follow each position.
Positions (direct):
Hf 0.3355 0.0427 0.2452  2 H 2.03-2.05
Hf 0.0456 0.4852 0.6655  2 H 2.04
Hf 0.6152 0.0744 0.8055  2 H 2.04
Hf 0.3252 0.5168 0.2256  2 H 2.03-2.05
Cu 0.7153 0.6727 0.0049  6 Hf 2.65-2.68, 1 Cu 2.75
Cu 0.9458 0.8870 0.4662  6 Hf 2.65-2.68, 1 Cu 2.75
H 0.2088 0.1501 0.9924  4 Hf 2.03-2.05
H 0.4520 0.4094 0.4784  4 Hf 2.03-2.05

Symmetry: C2/m, No. 12
Crystal system: monoclinic
Size of the total moment: 0.000 μB/atom
Density: 11.59 Mg/m³


*y*
Hf2CuH: relaxed, GGA-PBE.

abc: 6.1395 6.1395 5.3973
angles: 55.34 55.34 90.00
Closest atoms and distances in Å follow each position.
Positions (direct):
H 0.5000 0.5000 0.0000  4 Hf 2.06
H 0.2500 0.7500 0.5000  4 Hf 2.06
Hf 0.5558 0.1250 0.2500  2 H 2.06
Hf 0.1942 0.6250 0.2500  2 H 2.06
Hf 0.3750 0.4442 0.7500  2 H 2.06
Hf 0.8750 0.8058 0.7500  2 H 2.06
Cu 0.0000 0.0000 0.0000  4 Hf 2.62
Cu 0.7500 0.2500 0.5000  4 Hf 2.62

Symmetry: I-42d, No. 122
Crystal system: tetragonal
Size of the total moment: 0.000 μB/atom
Density: 11.58 Mg/m³


*z*
Hf2CuH: relaxed, GGA-PBE.

abc: 4.4159 4.4159 4.4159
angles: 60.00 60.00 60.00
Closest atoms and distances in Å follow each position.
Positions (direct):
H 0.0000 0.0000 0.0000  8 Hf 2.70
Hf 0.2500 0.2500 0.2500  4 H 2.70, 4 Cu 2.70
Hf 0.7500 0.7500 0.7500  4 H 2.70, 4 Cu 2.70
Cu 0.5000 0.5000 0.5000  8 Hf 2.70

Symmetry: Fm-3m, No. 225
Crystal system: cubic
Size of the total moment: 0.000 μB/atom
Density: 11.50 Mg/m³


Which of them is the most stable? Correct choice: *x*.


*w*
HfCuH2: relaxed, GGA-PBE.

abc: 3.7602 3.7602 3.7602
angles: 60.00 60.00 60.00
Closest atoms and distances in Å follow each position.
Positions (direct):
H 0.2500 0.2500 0.2500  4 Hf 2.30, 4 Cu 2.30
H 0.7500 0.7500 0.7500  4 Hf 2.30, 4 Cu 2.30
Hf 0.5000 0.5000 0.5000  8 H 2.30
Cu 0.0000 0.0000 0.0000  8 H 2.30

Symmetry: Fm-3m, No. 225
Crystal system: cubic
Size of the total moment: 0.000 μB/atom
Density: 10.78 Mg/m³


*x*
HfCuH2: relaxed, GGA-PBE.

abc: 4.0682 4.0682 5.7107
angles: 69.13 69.13 90.00
Closest atoms and distances in Å follow each position.
Positions (direct):
H 0.5830 0.1250 0.2500  2 Cu 1.81, 2 Hf 1.99
H 0.1670 0.6250 0.2500  2 Cu 1.81, 2 Hf 1.99
H 0.3750 0.4170 0.7500  2 Cu 1.81, 2 Hf 1.99
H 0.8750 0.8330 0.7500  2 Cu 1.81, 2 Hf 1.99
Hf 0.0000 0.0000 0.0000  4 H 1.99
Hf 0.7500 0.2500 0.5000  4 H 1.99
Cu 0.5000 0.5000 0.0000  4 H 1.81
Cu 0.2500 0.7500 0.5000  4 H 1.81

Symmetry: I-42d, No. 122
Crystal system: tetragonal
Size of the total moment: 0.000 μB/atom
Density: 9.93 Mg/m³


Which of them is the most stable? Correct choice: *x*.


*w*
HfCu2H2: relaxed, GGA-PBE.

abc: 3.0216 3.0216 6.1612
angles: 75.81 75.81 90.00
Closest atoms and distances in Å follow each position.
Positions (direct):
H 0.7500 0.2500 0.5000  4 Cu 1.79
H 0.2500 0.7500 0.5000  4 Cu 1.79
Hf 0.0000 0.0000 0.0000  8 Cu 2.88, 4 Hf 3.02
Cu 0.3326 0.3326 0.3349  4 H 1.79
Cu 0.6674 0.6674 0.6651  4 H 1.79

Symmetry: I4/mmm, No. 139
Crystal system: tetragonal
Size of the total moment: 0.000 μB/atom
Density: 9.68 Mg/m³


*x*
HfCu2H2: relaxed, GGA-PBE.

abc: 5.2259 5.2259 3.9382
angles: 90.00 90.00 90.00
Closest atoms and distances in Å follow each position.
Positions (direct):
H 0.1530 0.6530 0.0000  2 Cu 1.97, 2 Hf 1.98
H 0.6530 0.8470 0.0000  2 Cu 1.97, 2 Hf 1.98
H 0.8470 0.3470 0.0000  2 Cu 1.97, 2 Hf 1.98
H 0.3470 0.1530 0.0000  2 Cu 1.97, 2 Hf 1.98
Hf 0.0000 0.0000 0.0000  4 H 1.98
Hf 0.5000 0.5000 0.0000  4 H 1.98
Cu 0.1686 0.6686 0.5000  2 H 1.97
Cu 0.6686 0.8314 0.5000  2 H 1.97
Cu 0.8314 0.3314 0.5000  2 H 1.97
Cu 0.3314 0.1686 0.5000  2 H 1.97

Symmetry: P4/mbm, No. 127
Crystal system: tetragonal
Size of the total moment: 0.000 μB/atom
Density: 9.50 Mg/m³


Which of them is the most stable? Correct choice: *x*.